Entry 1:
Computed, not measured: a relaxed Nd6Bi2Ru crystal at the PBE-GGA level of DFT.

Cell and atoms, written as CIF:
```
data_Nd6Bi2Ru
_chemical_formula_sum 'Nd12 Bi4 Ru2'
_cell_length_a 6.5750
_cell_length_b 8.3716
_cell_length_c 12.3073
_cell_angle_alpha 90.00
_cell_angle_beta 120.17
_cell_angle_gamma 90.00
_space_group_name_H-M_alt 'P 1 21/c 1'
_space_group_IT_number 14
loop_
_space_group_symop_operation_xyz
'x,y,z'
'-x,-y,-z'
'-x,y+1/2,-z+1/2'
'x,-y+1/2,z+1/2'
loop_
_atom_site_label
_atom_site_fract_x
_atom_site_fract_y
_atom_site_fract_z
Nd1 0.0980 0.1780 0.4575
Nd2 0.3168 0.6832 0.4598
Nd3 0.3653 0.0214 0.2503
Bi1 0.1621 0.1117 0.7519
Ru1 0.5000 0.0000 0.5000
```

Values from the calculation:
Total magnetization   0.00 μB/atom
N(E_F)   1.30 states/eV per atom
Energy of formation   -447.7 meV per atom
ρ   7.851 g cm⁻³

Entry 2:
Computed, not measured: a relaxed Nd4BiRu2 crystal at the PBE-GGA level of DFT.

Cell and atoms, written as CIF:
```
data_Nd4BiRu2
_chemical_formula_sum 'Nd16 Bi4 Ru8'
_cell_length_a 8.8629
_cell_length_b 15.1563
_cell_length_c 7.1752
_cell_angle_alpha 90.00
_cell_angle_beta 126.91
_cell_angle_gamma 90.00
_space_group_name_H-M_alt 'C 1 c 1'
_space_group_IT_number 9
loop_
_space_group_symop_operation_xyz
'x,y,z'
'x,-y,z+1/2'
'x+1/2,y+1/2,z'
'x+1/2,-y+1/2,z+1/2'
loop_
_atom_site_label
_atom_site_fract_x
_atom_site_fract_y
_atom_site_fract_z
Nd1 0.0000 0.0241 0.0000
Nd2 0.2440 0.2828 0.2088
Nd3 0.4100 0.2891 0.8413
Nd4 0.4872 0.0825 0.1523
Bi1 0.3318 0.1123 0.5416
Ru1 0.1020 0.1713 0.8103
Ru2 0.1953 0.4167 0.4878
```

Values from the calculation:
Total magnetization   0.00 μB/atom
N(E_F)   0.61 states/eV per atom
Energy of formation   -296.1 meV per atom
ρ   8.517 g cm⁻³

Entry 3:
Computed, not measured: a relaxed Nd3BiRu crystal at the PBE-GGA level of DFT.

Cell and atoms, written as CIF:
```
data_Nd3BiRu
_chemical_formula_sum 'Nd6 Bi2 Ru2'
_cell_length_a 4.5665
_cell_length_b 7.0053
_cell_length_c 9.5591
_cell_angle_alpha 90.00
_cell_angle_beta 90.00
_cell_angle_gamma 90.00
_space_group_name_H-M_alt 'P m m n'
_space_group_IT_number 59
loop_
_space_group_symop_operation_xyz
'x,y,z'
'-x,-y,-z'
'-x+1/2,-y+1/2,z'
'x+1/2,y+1/2,-z'
'x+1/2,-y,-z'
'-x+1/2,y,z'
'-x,y+1/2,-z'
'x,-y+1/2,z'
loop_
_atom_site_label
_atom_site_fract_x
_atom_site_fract_y
_atom_site_fract_z
Nd1 0.2500 0.0054 0.1459
Nd2 0.2500 0.2500 0.5930
Bi1 0.2500 0.7500 0.6432
Ru1 0.2500 0.2500 0.8956
```

Values from the calculation:
Total magnetization   0.00 μB/atom
N(E_F)   0.64 states/eV per atom
Energy of formation   -445.1 meV per atom
ρ   8.067 g cm⁻³